1.
Compound: AcTeSe3
Source: Alexandria via LeMat-Bulk
Functional: PBE
Structure: optimized geometry

It has space group Pnma (No. 62), with a = 8.0992 Å, b = 4.7546 Å, c = 15.5401 Å, α = 90.00°, β = 90.00° and γ = 90.00°. The distinct sites, in fractional coordinates, are Ac at (0.0495, 0.2500, 0.1337), Te at (0.0478, 0.7500, 0.4030), Se at (0.0523, 0.7500, 0.6617), Se at (0.1845, 0.7500, 0.0245) and Se at (0.2074, 0.2500, 0.7922).

The energy comes out at -4.51 eV/atom. As for the raw formation energy: -0.970 eV/atom. The value obtained for the calculated volume is 29.92 A^3/atom. The energy above the most stable polymorph in this dataset is 0.000 eV/atom.

---

2.
Compound: Ac5Te4Se
Source: Alexandria via LeMat-Bulk
Functional: PBE
Structure: optimized geometry

It has space group R-3m (No. 166, hexagonal axes), with a = 4.6521 Å, b = 4.6521 Å, c = 58.0121 Å, α = 90.00°, β = 90.00° and γ = 120.00°. The distinct sites, in fractional coordinates, are Ac at (0.0000, 0.0000, 0.0000), Ac at (0.0000, 0.0000, 0.1959), Ac at (0.0000, 0.0000, 0.4016), Te at (0.0000, 0.0000, 0.1028), Te at (0.0000, 0.0000, 0.2992) and Se at (0.0000, 0.0000, 0.5000).

The energy comes out at -5.22 eV/atom. As for the raw formation energy: -1.563 eV/atom. The value obtained for the calculated volume is 36.24 A^3/atom. The energy above the most stable polymorph in this dataset is 0.000 eV/atom.

---

3.
Compound: Ac2TeSe
Source: Alexandria via LeMat-Bulk
Functional: PBE
Structure: optimized geometry

It has space group Fm-3m (No. 225), with a = 7.9343 Å, b = 7.9343 Å, c = 7.9343 Å, α = 90.00°, β = 90.00° and γ = 90.00°. The distinct sites, in fractional coordinates, are Ac at (0.2500, 0.2500, 0.2500), Te at (0.0000, 0.0000, 0.0000) and Se at (0.0000, 0.0000, 0.5000).

The energy comes out at -5.19 eV/atom. As for the raw formation energy: -1.483 eV/atom. The value obtained for the calculated volume is 31.22 A^3/atom. The energy above the most stable polymorph in this dataset is 0.200 eV/atom.

---

4.
Compound: Ac2TeSe
Source: Alexandria via LeMat-Bulk
Functional: PBE
Structure: optimized geometry

It has space group R-3m (No. 166, hexagonal axes), with a = 4.5805 Å, b = 4.5805 Å, c = 22.7614 Å, α = 90.00°, β = 90.00° and γ = 120.00°. The distinct sites, in fractional coordinates, are Ac at (0.0000, 0.0000, 0.2414), Te at (0.0000, 0.0000, 0.0000) and Se at (0.0000, 0.0000, 0.5000).

The energy comes out at -5.39 eV/atom. As for the raw formation energy: -1.682 eV/atom. The value obtained for the calculated volume is 34.46 A^3/atom. The energy above the most stable polymorph in this dataset is 0.000 eV/atom.

---

5.
Compound: Ac6TeSe12
Source: Alexandria via LeMat-Bulk
Functional: PBE
Structure: optimized geometry

It has space group R-3 (No. 148, hexagonal axes), with a = 13.0760 Å, b = 13.0760 Å, c = 13.0904 Å, α = 90.00°, β = 90.00° and γ = 120.00°. The distinct sites, in fractional coordinates, are Ac at (0.0443, 0.2738, 0.1305), Te at (0.0000, 0.0000, 0.5000), Se at (0.0340, 0.2172, 0.9003) and Se at (0.0917, 0.2225, 0.3771).

The energy comes out at -5.22 eV/atom. As for the raw formation energy: -1.558 eV/atom. The value obtained for the calculated volume is 34.01 A^3/atom.

---

6.
Compound: Ac4Te3Se
Source: Alexandria via LeMat-Bulk
Functional: PBE
Structure: optimized geometry

It has space group Pm-3m (No. 221), with a = 6.6119 Å, b = 6.6119 Å, c = 6.6119 Å, α = 90.00°, β = 90.00° and γ = 90.00°. The distinct sites, in fractional coordinates, are Ac at (0.0000, 0.0000, 0.0000), Ac at (0.0000, 0.5000, 0.5000), Te at (0.0000, 0.0000, 0.5000) and Se at (0.5000, 0.5000, 0.5000).

The energy comes out at -5.21 eV/atom. As for the raw formation energy: -1.546 eV/atom. The value obtained for the calculated volume is 36.13 A^3/atom. The energy above the most stable polymorph in this dataset is 0.032 eV/atom.

---

7.
Compound: Ac4TeSe5
Source: Alexandria via LeMat-Bulk
Functional: PBE
Structure: optimized geometry

It has space group C2/m (No. 12), with a = 19.8583 Å, b = 4.7243 Å, c = 8.7004 Å, α = 90.00°, β = 115.92° and γ = 90.00°. The distinct sites, in fractional coordinates, are Ac at (0.0002, 0.0000, 0.2336), Ac at (0.2116, 0.5000, 0.7120), Te at (0.0000, 0.5000, 0.5000), Se at (0.0000, 0.5000, 0.0000), Se at (0.1688, 0.0000, 0.4415) and Se at (0.1685, 0.0000, 0.8966).

The energy comes out at -5.59 eV/atom. As for the raw formation energy: -1.889 eV/atom. The value obtained for the calculated volume is 36.71 A^3/atom.

---

8.
Compound: Ac4Te3Se
Source: Alexandria via LeMat-Bulk
Functional: PBE
Structure: optimized geometry

It has space group Cmmm (No. 65), with a = 9.3941 Å, b = 13.2236 Å, c = 4.6422 Å, α = 90.00°, β = 90.00° and γ = 90.00°. The distinct sites, in fractional coordinates, are Ac at (0.0000, 0.2393, 0.0000), Ac at (0.2305, 0.0000, 0.5000), Te at (0.0000, 0.5000, 0.0000), Te at (0.2500, 0.2500, 0.5000) and Se at (0.0000, 0.0000, 0.0000).

The energy comes out at -5.25 eV/atom. As for the raw formation energy: -1.578 eV/atom. The value obtained for the calculated volume is 36.04 A^3/atom. The energy above the most stable polymorph in this dataset is 0.000 eV/atom.